[1]
Compound: NdCdCu
Source: the Alexandria database
Functional: PBE
Structure: relaxed

Unit cell a=3.9409 b=7.7226 c=13.4909 alpha=90.00 beta=90.00 gamma=90.00
Positions (direct):
Nd (0.0000, 0.7619, 0.4552)
Cu (0.5000, 0.9482, 0.5901)
Cu (0.5000, 0.9482, 0.9099)
Cu (0.5000, 0.0518, 0.4099)
Cd (0.5000, 0.5717, 0.6221)
Cu (0.0000, 0.4486, 0.7500)
Nd (0.0000, 0.8543, 0.7500)
Cd (0.5000, 0.7999, 0.2500)
Nd (0.0000, 0.2381, 0.9552)
Cd (0.5000, 0.5717, 0.8779)
Cd (0.5000, 0.4283, 0.3779)
Nd (0.0000, 0.2381, 0.5448)
Cu (0.0000, 0.5514, 0.2500)
Cd (0.5000, 0.4283, 0.1221)
Cu (0.5000, 0.0518, 0.0901)
Nd (0.0000, 0.7619, 0.0448)
Nd (0.0000, 0.1457, 0.2500)
Cd (0.5000, 0.2001, 0.7500)

Results
Final energy ... -3.527 eV per atom



[2]
Compound: NdCdCu
Source: the Alexandria database
Functional: PBE
Structure: relaxed

Unit cell a=4.2736 b=5.3003 c=6.6023 alpha=100.54 beta=108.88 gamma=90.00
Positions (direct):
Nd (0.8740, 0.6947, 0.7481)
Cd (0.5802, 0.7797, 0.1605)
Cu (0.7733, 0.1410, 0.5466)
Cd (0.4198, 0.2203, 0.8395)
Nd (0.1260, 0.3053, 0.2519)
Cu (0.2267, 0.8590, 0.4534)

Results
Final energy ... -3.503 eV per atom



[3]
Compound: NdCd4Cu4
Source: the Alexandria database
Functional: PBE
Structure: relaxed

Unit cell a=4.6139 b=8.8869 c=8.8869 alpha=90.00 beta=90.00 gamma=90.00
Positions (direct):
Cd (0.5001, 0.3865, 0.8621)
Nd (0.5000, 0.5000, 0.5000)
Cd (0.4999, 0.8621, 0.6135)
Nd (0.0000, 0.0000, 0.0000)
Cu (0.0000, 0.4092, 0.6887)
Cu (0.5000, 0.9092, 0.1887)
Cu (0.5000, 0.0908, 0.8113)
Cu (0.5000, 0.8113, 0.9092)
Cd (0.5001, 0.6135, 0.1379)
Cu (0.0000, 0.3113, 0.4092)
Cd (0.0001, 0.6379, 0.8865)
Cd (0.9999, 0.8865, 0.3621)
Cu (0.5000, 0.1887, 0.0908)
Cd (0.4999, 0.1379, 0.3865)
Cu (0.0000, 0.5908, 0.3113)
Cd (0.0001, 0.3621, 0.1135)
Cu (0.0000, 0.6887, 0.5908)
Cd (0.9999, 0.1135, 0.6379)

Results
Final energy ... -2.716 eV per atom



[4]
Compound: Nd12CdCu6
Source: the Alexandria database
Functional: PBE
Structure: relaxed

Unit cell a=8.8426 b=8.8426 c=8.8426 alpha=109.47 beta=109.47 gamma=109.47
Positions (direct):
Cu (0.5000, 0.8790, 0.3790)
Nd (0.1882, 0.2990, 0.4872)
Nd (0.2990, 0.4872, 0.1882)
Nd (0.8118, 0.2990, 0.1108)
Nd (0.4872, 0.1882, 0.2990)
Nd (0.8118, 0.7010, 0.5128)
Nd (0.7010, 0.8892, 0.1882)
Cu (0.6210, 0.5000, 0.1210)
Cd (0.0000, 0.0000, 0.0000)
Nd (0.2990, 0.1108, 0.8118)
Cu (0.1210, 0.6210, 0.5000)
Nd (0.1108, 0.8118, 0.2990)
Cu (0.3790, 0.5000, 0.8790)
Cu (0.5000, 0.1210, 0.6210)
Nd (0.1882, 0.7010, 0.8892)
Nd (0.7010, 0.5128, 0.8118)
Nd (0.5128, 0.8118, 0.7010)
Nd (0.8892, 0.1882, 0.7010)
Cu (0.8790, 0.3790, 0.5000)

Results
Final energy ... -4.452 eV per atom



[5]
Compound: NdCdCu10
Source: the Alexandria database
Functional: PBE
Structure: relaxed

Unit cell a=4.1015 b=5.0105 c=8.7138 alpha=90.00 beta=90.00 gamma=90.00
Positions (direct):
Cu (0.5000, 0.7517, 0.2511)
Cu (0.0000, 0.5000, 0.1842)
Cu (0.5000, 0.0000, 0.5000)
Nd (0.0000, 0.0000, 0.0000)
Cu (0.5000, 0.2483, 0.7489)
Cd (0.0000, 0.5000, 0.5000)
Cu (0.0000, 0.0000, 0.6553)
Cu (0.5000, 0.5000, 0.0000)
Cu (0.5000, 0.7517, 0.7489)
Cu (0.0000, 0.0000, 0.3447)
Cu (0.5000, 0.2483, 0.2511)
Cu (0.0000, 0.5000, 0.8158)

Results
Final energy ... -3.939 eV per atom



[6]
Compound: Nd12Cd6Cu
Source: the Alexandria database
Functional: PBE
Structure: relaxed

Unit cell a=8.2456 b=8.2456 c=8.2456 alpha=88.68 beta=88.68 gamma=88.68
Positions (direct):
Nd (0.1938, 0.4707, 0.5537)
Nd (0.0223, 0.1426, 0.3648)
Nd (0.6352, 0.9777, 0.8574)
Cd (0.7432, 0.2598, 0.1073)
Cd (0.8927, 0.2568, 0.7402)
Nd (0.3648, 0.0223, 0.1426)
Nd (0.4707, 0.5537, 0.1938)
Cu (0.0000, 0.0000, 0.0000)
Nd (0.8062, 0.5293, 0.4463)
Nd (0.5537, 0.1938, 0.4707)
Nd (0.9777, 0.8574, 0.6352)
Cd (0.2568, 0.7402, 0.8927)
Nd (0.8574, 0.6352, 0.9777)
Nd (0.5293, 0.4463, 0.8062)
Cd (0.7402, 0.8927, 0.2568)
Nd (0.1426, 0.3648, 0.0223)
Cd (0.1073, 0.7432, 0.2598)
Cd (0.2598, 0.1073, 0.7432)
Nd (0.4463, 0.8062, 0.5293)

Results
Final energy ... -3.611 eV per atom



[7]
Compound: NdCd4Cu2
Source: the Alexandria database
Functional: PBE
Structure: relaxed

Unit cell a=4.2584 b=4.3184 c=8.3642 alpha=104.96 beta=90.00 gamma=90.00
Positions (direct):
Cd (0.5000, 0.1756, 0.3512)
Nd (0.0000, 0.0000, 0.0000)
Cd (0.5000, 0.8244, 0.6488)
Cd (0.0000, 0.6779, 0.3557)
Cu (0.5000, 0.5732, 0.1464)
Cu (0.5000, 0.4268, 0.8536)
Cd (0.0000, 0.3221, 0.6443)

Results
Final energy ... -2.524 eV per atom



[8]
Compound: NdCdCuNi
Source: the Alexandria database
Functional: PBE
Structure: relaxed

Unit cell a=4.7610 b=4.7610 c=4.7610 alpha=60.00 beta=60.00 gamma=60.00
Positions (direct):
Cu (0.5000, 0.5000, 0.5000)
Nd (0.7500, 0.7500, 0.7500)
Cd (0.2500, 0.2500, 0.2500)
Ni (0.0000, 0.0000, 0.0000)

Results
Final energy ... -4.033 eV per atom



[9]
Compound: Nd2CdCuO5
Source: the Alexandria database
Functional: PBE
Structure: relaxed

Unit cell a=5.6613 b=6.7287 c=6.7287 alpha=90.00 beta=90.00 gamma=90.00
Last column: magnetic moment on the atom in μB.
Positions (direct):
Cu (0.0000, 0.0000, 0.5000)  0.48
O (0.2408, 0.8602, 0.3602)  0.09
O (0.2408, 0.1398, 0.6398)  0.09
O (0.5000, 0.0000, 0.0000)  0.00
Cd (0.0000, 0.5000, 0.5000)  0.02
Nd (0.5000, 0.8276, 0.6724)  0.02
Nd (0.5000, 0.1724, 0.3276)  0.02
Nd (0.5000, 0.3276, 0.8276)  0.02
O (0.7592, 0.8602, 0.3602)  0.09
O (0.2408, 0.6398, 0.8602)  0.09
Cd (0.0000, 0.0000, 0.0000)  0.02
Cu (0.0000, 0.5000, 0.0000)  0.48
O (0.2408, 0.3602, 0.1398)  0.09
O (0.7592, 0.6398, 0.8602)  0.09
Nd (0.5000, 0.6724, 0.1724)  0.02
O (0.5000, 0.5000, 0.5000)  0.00
O (0.7592, 0.1398, 0.6398)  0.09
O (0.7592, 0.3602, 0.1398)  0.09

Results
Raw formation energy ... -193 kJ per mole of atoms



[10]
Compound: NdCdCuPb
Source: the Alexandria database
Functional: PBE
Structure: relaxed

Unit cell a=5.1545 b=5.1545 c=5.1545 alpha=60.00 beta=60.00 gamma=60.00
Positions (direct):
Cu (0.7500, 0.7500, 0.7500)
Cd (0.0000, 0.0000, 0.0000)
Nd (0.5000, 0.5000, 0.5000)
Pb (0.2500, 0.2500, 0.2500)

Results
Final energy ... -3.498 eV per atom